Record 1
! meta-GGA SCAN KBa4W, single point on PBEsol structure; values from VASP
! formation energy: 1253 meV/atom
! uncorrected energy: -38.116 eV per atom
&SYSTEM
  ibrav = 0, nat = 6, ntyp = 3
/
ATOMIC_SPECIES
K 39.10 K.upf
Ba 137.33 Ba.upf
W 183.84 W.upf
CELL_PARAMETERS angstrom
7.3195 0.0000 0.0000
3.6597 6.3389 0.0000
3.6597 2.1130 5.9763
ATOMIC_POSITIONS crystal
K 0.7500 0.7500 0.7500
Ba 0.3732 0.3732 0.8805
Ba 0.8805 0.3732 0.3732
Ba 0.3732 0.8805 0.3732
Ba 0.3732 0.3732 0.3732
W 0.0000 0.0000 0.0000



Record 2
! meta-GGA SCAN NaLi2Ru6O12, single point on PBEsol structure; values from VASP
! formation energy (no corrections): -1363 meV/atom
! uncorrected energy: -15.303 eV per atom
&SYSTEM
  ibrav = 0, nat = 42, ntyp = 4
/
ATOMIC_SPECIES
O 16.00 O.upf
Li 6.94 Li.upf
Na 22.99 Na.upf
Ru 101.07 Ru.upf
CELL_PARAMETERS angstrom
-5.0808 0.5616 2.0747
-3.3595 -4.7524 -7.3049
5.0712 -4.7946 6.7253
ATOMIC_POSITIONS crystal
O 0.8575 0.5862 0.4474
O 0.2145 0.9017 0.6966
O 0.7455 0.8990 0.7264
O 0.0409 0.7266 0.8275
O 0.8094 0.4737 0.8750
O 0.1906 0.5263 0.1250
O 0.5763 0.1702 0.9029
O 0.6360 0.4017 0.5262
O 0.4237 0.8298 0.0971
O 0.1803 0.1198 0.5931
O 0.2545 0.1010 0.2736
O 0.6859 0.5521 0.1373
O 0.9591 0.2734 0.1725
O 0.6651 0.1432 0.5935
O 0.9301 0.7957 0.0984
O 0.8197 0.8802 0.4069
O 0.3349 0.8568 0.4065
O 0.4797 0.2992 0.2030
O 0.5203 0.7008 0.7970
O 0.3640 0.5983 0.4738
O 0.0699 0.2043 0.9016
O 0.1425 0.4138 0.5526
O 0.7855 0.0983 0.3034
O 0.3141 0.4479 0.8627
Li 0.0551 0.6618 0.3302
Li 0.5437 0.6655 0.3338
Li 0.4563 0.3345 0.6662
Li 0.9449 0.3382 0.6698
Na 0.2447 0.0171 0.9926
Na 0.7553 0.9829 0.0074
Ru 0.5946 0.6438 0.9795
Ru 0.1738 0.6648 0.6416
Ru 0.1411 0.6378 0.9808
Ru 0.8262 0.3352 0.3584
Ru 0.7185 0.6561 0.6391
Ru 0.0684 0.9752 0.3399
Ru 0.8589 0.3622 0.0192
Ru 0.5234 0.9852 0.3394
Ru 0.4766 0.0148 0.6606
Ru 0.4054 0.3562 0.0205
Ru 0.2815 0.3439 0.3609
Ru 0.9316 0.0248 0.6601



Record 3
! meta-GGA SCAN Zr5Be, single point on PBEsol structure; values from VASP
! formation energy: 133 meV/atom
! uncorrected energy: -26.175 eV per atom
&SYSTEM
  ibrav = 0, nat = 6, ntyp = 2
/
ATOMIC_SPECIES
Zr 91.22 Zr.upf
Be 9.01 Be.upf
CELL_PARAMETERS angstrom
5.0063 0.0000 0.0000
0.0000 5.2928 0.0000
0.0000 -2.6464 4.5837
ATOMIC_POSITIONS crystal
Zr 0.5000 0.6667 0.3333
Zr 0.0000 0.0000 0.6861
Zr 0.0000 0.3139 0.3139
Zr 0.0000 0.6861 0.0000
Zr 0.5000 0.3333 0.6667
Be 0.5000 0.0000 0.0000